# PBE LiSiAg4, optimized geometry
data_LiSiAg4
_chemical_formula_sum 'Li4 Si4 Ag16'
_cell_length_a 5.715
_cell_length_b 15.356
_cell_length_c 5.518
_cell_angle_alpha 90.00
_cell_angle_beta 121.07
_cell_angle_gamma 90.00
_space_group_name_H-M_alt 'C 1 2/c 1'
_space_group_IT_number 15
loop_
_space_group_symop_operation_xyz
'x,y,z'
'-x,-y,-z'
'-x,y,-z+1/2'
'x,-y,z+1/2'
'x+1/2,y+1/2,z'
'-x+1/2,-y+1/2,-z'
'-x+1/2,y+1/2,-z+1/2'
'x+1/2,-y+1/2,z+1/2'
loop_
_atom_site_label
_atom_site_type_symbol
_atom_site_fract_x
_atom_site_fract_y
_atom_site_fract_z
_atom_site_occupancy
Li1 Li 0.000 0.125 0.250 1
Si1 Si 0.000 0.375 0.750 1
Ag1 Ag 0.238 0.280 0.236 1
Ag2 Ag 0.248 0.469 0.235 1
# D(E_F), states/eV/cell: 5.11
# Uncorrected formation energy, eV per atom: 0.0655